1.
Here is a geometry-optimized YMg3Cu3 structure from Alexandria. Energies are from PBE-GGA.

abc: 6.8570 6.8570 6.8570
angles: 90.00 90.00 90.00
Closest atoms and distances in Å follow each position.
Fractional coordinates of all 14 atoms:
Y (0.0000, 0.0000, 0.0000)  12 Mg 3.83, 12 Cu 3.83
Y (0.5000, 0.5000, 0.5000)  12 Mg 3.83, 12 Cu 3.83
Mg (0.0000, 0.2500, 0.5000)  4 Cu 2.42
Mg (0.0000, 0.7500, 0.5000)  4 Cu 2.42
Mg (0.2500, 0.5000, 0.0000)  4 Cu 2.42
Mg (0.5000, 0.0000, 0.2500)  4 Cu 2.42
Mg (0.5000, 0.0000, 0.7500)  4 Cu 2.42
Mg (0.7500, 0.5000, 0.0000)  4 Cu 2.42
Cu (0.0000, 0.5000, 0.2500)  4 Mg 2.42
Cu (0.0000, 0.5000, 0.7500)  4 Mg 2.42
Cu (0.2500, 0.0000, 0.5000)  4 Mg 2.42
Cu (0.5000, 0.2500, 0.0000)  4 Mg 2.42
Cu (0.5000, 0.7500, 0.0000)  4 Mg 2.42
Cu (0.7500, 0.0000, 0.5000)  4 Mg 2.42

Properties
ΔE_f in meV per atom: 433
Energy relative to the lowest polymorph listed for this composition in meV/atom: 572
Space group: No. 223
D(E_F) in states/eV/f.u.: 5.25

---

2.
Here is a geometry-optimized YMo2P structure from Alexandria. Energies are from PBE-GGA.

abc: 5.4685 9.9960 3.2942
angles: 90.00 126.21 90.00
Closest atoms and distances in Å follow each position.
Fractional coordinates of all 8 atoms:
Y (0.0000, 0.0000, 0.0000)  4 P 2.73-2.77, 4 Mo 2.86
Y (0.5000, 0.5000, 0.0000)  4 P 2.73-2.77, 4 Mo 2.86
Mo (0.2500, 0.2500, 0.5000)  4 Mo 2.73-2.77, 2 Y 2.86, 2 P 2.86
Mo (0.2500, 0.7500, 0.5000)  4 Mo 2.73-2.77, 2 P 2.86, 2 Y 2.86
Mo (0.7500, 0.2500, 0.5000)  4 Mo 2.73-2.77, 2 Y 2.86, 2 P 2.86
Mo (0.7500, 0.7500, 0.5000)  4 Mo 2.73-2.77, 2 Y 2.86, 2 P 2.86
P (0.0000, 0.5000, 0.0000)  4 Y 2.73-2.77, 4 Mo 2.86
P (0.5000, 0.0000, 0.0000)  4 Y 2.73-2.77, 4 Mo 2.86

Properties
ΔE_f in meV per atom: 180
Space group: No. 12
D(E_F) in states/eV/f.u.: 3.41

---

3.
Here is a geometry-optimized SrNi4Au structure from Alexandria. Energies are from PBE-GGA.

abc: 5.0576 5.0576 5.0576
angles: 60.00 60.00 60.00
Closest atoms and distances in Å follow each position.
Fractional coordinates of all 6 atoms:
Sr (0.0000, 0.0000, 0.0000)  12 Ni 2.97, 4 Au 3.10
Ni (0.3758, 0.3758, 0.3758)  6 Ni 2.51-2.54
Ni (0.3758, 0.3758, 0.8727)  6 Ni 2.51-2.54
Ni (0.3758, 0.8727, 0.3758)  6 Ni 2.51-2.54
Ni (0.8727, 0.3758, 0.3758)  6 Ni 2.51-2.54
Au (0.7500, 0.7500, 0.7500)  12 Ni 2.96, 4 Sr 3.10

Properties
ΔE_f in meV per atom: 19
Space group: No. 216
D(E_F) in states/eV/f.u.: 10.76

---

Look up the D(E_F) of the second one. 3.41 states/eV/f.u.

---

Which formula does entry 3 have? SrNi4Au